{
  "formula": "Ho2Al5Pt3",
  "functional": "PBE-GGA",
  "state": "optimized geometry",
  "lattice": [[4.2439, 0.0000, -0.7229], [0.0000, 6.7229, 0.0000], [-0.0195, 0.0000, 12.7038]],
  "species": ["Pt", "Pt", "Pt", "Pt", "Pt", "Pt", "Al", "Al", "Al", "Al", "Al", "Al", "Al", "Al", "Al", "Al", "Ho", "Ho", "Ho", "Ho"],
  "fractional_positions": [[0.3923, 0.0160, 0.7845], [0.2269, 0.2106, 0.4538], [0.7731, 0.7106, 0.5462], [0.9502, 0.4780, 0.9004], [0.6077, 0.5160, 0.2155], [0.0498, 0.9780, 0.0996], [0.9458, 0.0865, 0.8917], [0.7110, 0.0119, 0.4219], [0.2890, 0.5119, 0.5781], [0.1258, 0.2526, 0.2517], [0.2931, 0.9152, 0.5862], [0.7069, 0.4152, 0.4138], [0.3985, 0.4079, 0.7969], [0.0542, 0.5865, 0.1083], [0.8742, 0.7526, 0.7483], [0.6015, 0.9079, 0.2031], [0.1746, 0.7258, 0.3493], [0.8254, 0.2258, 0.6507], [0.5183, 0.2603, 0.0366], [0.4817, 0.7603, 0.9634]],
  "dft_energy_ev_per_atom": -5.627,
  "space_group": "No. 36",
  "volume_a3_per_fu": 181.2
}

---

{
  "formula": "HoAl2Pt6",
  "functional": "PBE-GGA",
  "state": "optimized geometry",
  "lattice": [[-1.9196, 2.4691, 2.5389], [1.7638, -3.8159, 5.0448], [4.0521, 4.8844, -1.6866]],
  "species": ["Pt", "Pt", "Pt", "Pt", "Pt", "Pt", "Ho", "Al", "Al"],
  "fractional_positions": [[0.5000, 0.9857, 0.5797], [0.5000, 0.5270, 0.5270], [0.5000, 0.5797, 0.9858], [0.0000, 0.2483, 0.8941], [0.0000, 0.8941, 0.2483], [0.0000, 0.7979, 0.7979], [0.5000, 0.1066, 0.1066], [0.0000, 0.3034, 0.5572], [0.0000, 0.5572, 0.3034]],
  "dft_energy_ev_per_atom": -6.075,
  "space_group": "No. 38",
  "volume_a3_per_fu": 153.9
}

---

{
  "formula": "Ho2AlPt3",
  "functional": "PBE-GGA",
  "state": "optimized geometry",
  "lattice": [[-5.2237, 0.5886, -0.1373], [-2.8420, -4.1715, 1.4741], [-2.4142, 0.3687, 4.6570]],
  "species": ["Pt", "Pt", "Pt", "Ho", "Ho", "Al"],
  "fractional_positions": [[0.5000, 0.0000, 0.0000], [0.0000, 0.5000, 0.0000], [0.0000, 0.0000, 0.5000], [0.6265, 0.6265, 0.6265], [0.3735, 0.3735, 0.3735], [0.0000, 0.0000, 0.0000]],
  "dft_energy_ev_per_atom": -6.361,
  "space_group": "No. 166",
  "volume_a3_per_fu": 111.5
}

---

{
  "formula": "Ho4Al16Pt3",
  "functional": "PBE-GGA",
  "state": "optimized geometry",
  "lattice": [[6.1708, 0.0000, 0.0000], [0.0000, 6.1708, 0.0000], [0.0000, 0.0000, 11.1608]],
  "species": ["Al", "Al", "Al", "Al", "Al", "Al", "Al", "Al", "Al", "Al", "Al", "Al", "Al", "Al", "Al", "Al", "Pt", "Pt", "Pt", "Ho", "Ho", "Ho", "Ho"],
  "fractional_positions": [[0.2871, 0.2871, 0.0000], [0.7129, 0.7129, 0.0000], [0.0000, 0.0000, 0.2271], [0.5000, 0.5000, 0.8023], [0.7129, 0.2871, 0.0000], [0.7452, 0.7452, 0.3761], [0.7452, 0.2548, 0.6239], [0.2548, 0.7452, 0.6239], [0.7452, 0.2548, 0.3761], [0.2548, 0.2548, 0.3761], [0.2548, 0.2548, 0.6239], [0.7452, 0.7452, 0.6239], [0.2548, 0.7452, 0.3761], [0.5000, 0.5000, 0.1977], [0.2871, 0.7129, 0.0000], [0.0000, 0.0000, 0.7729], [0.0000, 0.0000, 0.0000], [0.0000, 0.5000, 0.5000], [0.5000, 0.0000, 0.5000], [0.0000, 0.5000, 0.8103], [0.0000, 0.5000, 0.1897], [0.5000, 0.0000, 0.1897], [0.5000, 0.0000, 0.8103]],
  "dft_energy_ev_per_atom": -4.842,
  "space_group": "No. 123",
  "volume_a3_per_fu": 425.0
}

---

Q: Which formula does entry 4 have?
A: Ho4Al16Pt3